1.
Density functional theory data (PBE) for an optimized crystal structure of LiPu4Pt3. Values from VASP.

## Properties
symmetry = I4/mcm, No. 140
calculated volume = 343.8 Å³ per cell
Fermi-level density of states = 3.7054 states/eV/atom
ΔE_f = -638.1 meV/atom

```
&SYSTEM
  ibrav = 0, nat = 16, ntyp = 3
/
ATOMIC_SPECIES
Pu 244.00 Pu.upf
Pt 195.08 Pt.upf
Li 6.94 Li.upf
CELL_PARAMETERS angstrom
1.499 -4.807 2.140
3.034 -4.885 -6.103
8.022 0.455 2.398
ATOMIC_POSITIONS crystal
Pu 0.415 0.311 0.858
Pu 0.585 0.689 0.142
Pu 0.726 0.858 0.689
Pu 0.085 0.142 0.689
Pu 0.274 0.142 0.311
Pu 0.915 0.858 0.311
Pu 0.774 0.311 0.142
Pu 0.226 0.689 0.858
Pt 0.750 0.000 0.000
Pt 0.250 0.000 0.000
Pt 0.345 0.809 0.500
Pt 0.655 0.191 0.500
Pt 0.155 0.500 0.191
Pt 0.845 0.500 0.809
Li 0.750 0.500 0.500
Li 0.250 0.500 0.500
```

=====

2.
Density functional theory data (PBE) for an optimized crystal structure of TaGa2HgPd. Values from VASP.

## Properties
symmetry = P4/mmm, No. 123
calculated volume = 128.9 Å³ per cell
Fermi-level density of states = 0.9851 states/eV/atom
ΔE_f = 730.4 meV/atom

```
&SYSTEM
  ibrav = 0, nat = 5, ntyp = 4
/
ATOMIC_SPECIES
Ga 69.72 Ga.upf
Hg 200.59 Hg.upf
Pd 106.42 Pd.upf
Ta 180.95 Ta.upf
CELL_PARAMETERS angstrom
5.149 0.000 0.000
0.000 4.864 0.000
0.000 0.000 5.149
ATOMIC_POSITIONS crystal
Ga 0.000 0.000 0.500
Ga 0.500 0.000 0.000
Hg 0.500 0.500 0.500
Pd 0.000 0.500 0.000
Ta 0.000 0.000 0.000
```

=====

3.
Density functional theory data (PBE) for an optimized crystal structure of Be3Te. Values from VASP.

## Properties
ΔE_f (raw) = 0.370 eV/atom
symmetry = R-3m, No. 166
calculated volume = 63.2 Å³ per cell
Fermi-level density of states = 0.2526 states/eV/atom

```
&SYSTEM
  ibrav = 0, nat = 4, ntyp = 2
/
ATOMIC_SPECIES
Be 9.01 Be.upf
Te 127.60 Te.upf
CELL_PARAMETERS angstrom
-2.853 -5.073 -0.082
0.665 -5.738 0.721
-1.609 -4.501 3.322
ATOMIC_POSITIONS crystal
Be 0.851 0.851 0.851
Be 0.500 0.500 0.500
Be 0.149 0.149 0.149
Te 0.000 0.000 0.000
```

=====

4.
Density functional theory data (PBE) for an optimized crystal structure of Hf2AlGa4. Values from VASP.

## Properties
symmetry = Fmmm, No. 69
calculated volume = 129.7 Å³ per cell
Fermi-level density of states = 0.3603 states/eV/atom
ΔE_f = -308.4 meV/atom

```
&SYSTEM
  ibrav = 0, nat = 7, ntyp = 3
/
ATOMIC_SPECIES
Hf 178.49 Hf.upf
Al 26.98 Al.upf
Ga 69.72 Ga.upf
CELL_PARAMETERS angstrom
4.931 0.004 -2.816
-1.650 4.647 -2.816
-0.009 -0.013 5.674
ATOMIC_POSITIONS crystal
Hf 0.286 0.786 0.571
Hf 0.786 0.286 0.571
Al 0.786 0.786 0.571
Ga 0.786 0.786 0.072
Ga 0.286 0.286 0.071
Ga 0.786 0.286 0.071
Ga 0.286 0.786 0.071
```

=====

5.
Density functional theory data (PBE) for an optimized crystal structure of La6TcAg2O. Values from VASP.

## Properties
ΔE_f (raw) = -0.619 eV/atom
symmetry = P2_1/c, No. 14
calculated volume = 566.1 Å³ per cell
Fermi-level density of states = 0.9065 states/eV/atom

```
&SYSTEM
  ibrav = 0, nat = 20, ntyp = 4
/
ATOMIC_SPECIES
La 138.91 La.upf
Tc 98.00 Tc.upf
Ag 107.87 Ag.upf
O 16.00 O.upf
CELL_PARAMETERS angstrom
6.828 0.000 0.072
0.000 7.783 0.000
0.169 0.000 10.654
ATOMIC_POSITIONS crystal
La 0.317 0.676 0.048
La 0.817 0.824 0.548
La 0.683 0.324 0.952
La 0.183 0.176 0.452
La 0.342 0.699 0.447
La 0.842 0.801 0.947
La 0.658 0.301 0.553
La 0.158 0.199 0.053
La 0.883 0.523 0.247
La 0.383 0.977 0.747
La 0.117 0.477 0.753
La 0.617 0.023 0.253
Tc 0.500 0.000 0.000
Tc 0.000 0.500 0.500
Ag 0.068 0.899 0.245
Ag 0.568 0.601 0.745
Ag 0.932 0.101 0.755
Ag 0.432 0.399 0.255
O 0.500 0.000 0.500
O 0.000 0.500 0.000
```

=====

6.
Density functional theory data (PBE) for an optimized crystal structure of Cs3Pr2ErO6. Values from VASP.

## Properties
ΔE_f (raw) = -2.529 eV/atom
symmetry = C2/m, No. 12
calculated volume = 242.3 Å³ per cell
Fermi-level density of states = 0.0000 states/eV/atom

```
&SYSTEM
  ibrav = 0, nat = 12, ntyp = 4
/
ATOMIC_SPECIES
Cs 132.91 Cs.upf
Pr 140.91 Pr.upf
Er 167.26 Er.upf
O 16.00 O.upf
CELL_PARAMETERS angstrom
6.351 -0.001 0.002
-3.175 5.501 0.002
-1.057 -1.831 6.934
ATOMIC_POSITIONS crystal
Cs 0.166 0.834 0.500
Cs 0.834 0.166 0.500
Cs 0.500 0.500 0.500
Pr 0.333 0.667 0.000
Pr 0.667 0.333 0.000
Er 0.000 0.000 0.000
O 0.944 0.625 0.832
O 0.737 0.737 0.169
O 0.056 0.375 0.168
O 0.625 0.944 0.832
O 0.263 0.263 0.831
O 0.375 0.056 0.168
```

=====

7.
Density functional theory data (PBE) for an optimized crystal structure of RbGaF3. Values from VASP.

## Properties
ΔE_f (raw) = -2.281 eV/atom
symmetry = R3m, No. 160
calculated volume = 131.0 Å³ per cell
Fermi-level density of states = 0.0000 states/eV/atom

```
&SYSTEM
  ibrav = 0, nat = 5, ntyp = 3
/
ATOMIC_SPECIES
Ga 69.72 Ga.upf
Rb 85.47 Rb.upf
F 19.00 F.upf
CELL_PARAMETERS angstrom
4.373 0.000 2.636
-2.186 3.787 2.636
-2.186 -3.787 2.636
ATOMIC_POSITIONS crystal
Ga 0.929 0.929 0.929
Rb 0.492 0.492 0.492
F 0.693 0.067 0.693
F 0.067 0.693 0.693
F 0.693 0.693 0.067
```

=====

8.
Density functional theory data (PBE) for an optimized crystal structure of ZrReNi2. Values from VASP.

## Properties
symmetry = Cm, No. 8
calculated volume = 57.4 Å³ per cell
Fermi-level density of states = 0.8465 states/eV/atom
ΔE_f = -49.3 meV/atom

```
&SYSTEM
  ibrav = 0, nat = 4, ntyp = 3
/
ATOMIC_SPECIES
Ni 58.69 Ni.upf
Re 186.21 Re.upf
Zr 91.22 Zr.upf
CELL_PARAMETERS angstrom
-0.260 -0.219 -4.954
2.239 -1.166 -4.276
-1.289 -4.273 -1.220
ATOMIC_POSITIONS crystal
Ni 0.020 0.020 0.030
Ni 0.735 0.735 0.705
Re 0.484 0.484 0.570
Zr 0.261 0.261 0.195
```

=====

9.
Density functional theory data (PBE) for an optimized crystal structure of La3InCl. Values from VASP.

## Properties
ΔE_f (raw) = -0.698 eV/atom
symmetry = Pm-3m, No. 221
calculated volume = 162.9 Å³ per cell
Fermi-level density of states = 1.3296 states/eV/atom

```
&SYSTEM
  ibrav = 0, nat = 5, ntyp = 3
/
ATOMIC_SPECIES
Cl 35.45 Cl.upf
In 114.82 In.upf
La 138.91 La.upf
CELL_PARAMETERS angstrom
-4.048 -1.546 3.323
3.454 -3.266 2.688
1.227 4.094 3.399
ATOMIC_POSITIONS crystal
Cl 0.000 0.000 0.000
In 0.500 0.500 0.500
La 0.000 0.500 0.000
La 0.000 0.000 0.500
La 0.500 0.000 0.000
```

=====

10.
Density functional theory data (PBE) for an optimized crystal structure of ReNi7Rh4. Values from VASP.

## Properties
symmetry = C2/m, No. 12
calculated volume = 159.4 Å³ per cell
Fermi-level density of states = 1.7011 states/eV/atom
ΔE_f = 394.9 meV/atom

```
&SYSTEM
  ibrav = 0, nat = 12, ntyp = 3
/
ATOMIC_SPECIES
Re 186.21 Re.upf
Ni 58.69 Ni.upf
Rh 102.91 Rh.upf
CELL_PARAMETERS angstrom
4.397 0.000 0.000
2.199 8.288 -0.849
2.199 -0.194 4.394
ATOMIC_POSITIONS crystal
Re 0.000 0.000 0.000
Ni 0.811 0.908 0.471
Ni 0.189 0.092 0.529
Ni 0.028 0.612 0.331
Ni 0.972 0.388 0.669
Ni 0.345 0.524 0.787
Ni 0.500 0.000 0.000
Ni 0.655 0.476 0.213
Rh 0.654 0.232 0.460
Rh 0.346 0.768 0.540
Rh 0.696 0.702 0.905
Rh 0.304 0.298 0.095
```

=====

11.
Density functional theory data (PBE) for an optimized crystal structure of AlSe. Values from VASP.

## Properties
ΔE_f (raw) = -0.412 eV/atom
symmetry = Pmn2_1, No. 31
calculated volume = 291.7 Å³ per cell
Fermi-level density of states = 0.2653 states/eV/atom

```
&SYSTEM
  ibrav = 0, nat = 12, ntyp = 2
/
ATOMIC_SPECIES
Al 26.98 Al.upf
Se 78.96 Se.upf
CELL_PARAMETERS angstrom
-9.198 5.669 4.064
-1.291 -3.230 1.585
3.312 1.398 5.547
ATOMIC_POSITIONS crystal
Al 0.816 0.181 0.613
Al 0.684 0.819 0.113
Al 0.184 0.181 0.613
Al 0.316 0.819 0.113
Al 0.000 0.758 0.491
Al 0.500 0.242 0.991
Se 0.803 0.313 0.244
Se 0.697 0.687 0.744
Se 0.197 0.313 0.244
Se 0.303 0.687 0.744
Se 0.000 0.331 0.796
Se 0.500 0.669 0.296
```

=====

12.
Density functional theory data (PBE) for an optimized crystal structure of La2TmFe9. Values from VASP.

## Properties
symmetry = R-3m, No. 166
calculated volume = 190.2 Å³ per cell
Fermi-level density of states = 0.9229 states/eV/atom
ΔE_f = 10.7 meV/atom

```
&SYSTEM
  ibrav = 0, nat = 12, ntyp = 3
/
ATOMIC_SPECIES
La 138.91 La.upf
Tm 168.93 Tm.upf
Fe 55.84 Fe.upf
CELL_PARAMETERS angstrom
-4.106 -2.303 2.047
-2.851 -3.174 -2.854
2.456 -8.238 2.092
ATOMIC_POSITIONS crystal
La 0.859 0.859 0.422
La 0.141 0.141 0.578
Tm 0.000 0.000 0.000
Fe 0.667 0.667 0.999
Fe 0.333 0.333 0.001
Fe 0.500 0.500 0.500
Fe 0.423 0.423 0.235
Fe 0.918 0.423 0.235
Fe 0.423 0.918 0.235
Fe 0.577 0.577 0.765
Fe 0.577 0.082 0.765
Fe 0.082 0.577 0.765
```